# 1
The following is a PBE calculation of LaZn2N after structural relaxation, from Alexandria via LeMat-Bulk.

Unit cell a=7.8593 b=7.8593 c=6.0716 alpha=49.67 beta=49.67 gamma=90.00
Positions (direct):
N  0.5000  0.5000  0.0000
N  0.2500  0.7500  0.5000
Zn  0.8750  0.8034  0.7500
Zn  0.3750  0.4466  0.7500
Zn  0.1966  0.6250  0.2500
Zn  0.5534  0.1250  0.2500
La  0.7500  0.2500  0.5000
La  0.0000  0.0000  0.0000

Properties
**Crystal system**: tetragonal
**Uncorrected energy**: -16.09 eV per formula unit
**Uncorrected formation energy**: -0.07 eV per atom

# 2
The following is a PBE calculation of La2ZnN after structural relaxation, from Alexandria via LeMat-Bulk.

Unit cell a=4.9366 b=4.9366 c=4.9366 alpha=60.00 beta=60.00 gamma=60.00
Positions (direct):
La  0.7500  0.7500  0.7500
La  0.2500  0.2500  0.2500
Zn  0.5000  0.5000  0.5000
N  0.0000  0.0000  0.0000

Properties
**Crystal system**: cubic
**Uncorrected energy**: -19.20 eV per formula unit
**Uncorrected formation energy**: 0.06 eV per atom

# 3
The following is a PBE calculation of La3ZnN3 after structural relaxation, from Alexandria via LeMat-Bulk.

Unit cell a=3.7826 b=3.7826 c=8.9626 alpha=90.00 beta=90.00 gamma=90.00
Positions (direct):
La  0.0000  0.0000  0.0000
La  0.5000  0.5000  0.7174
La  0.5000  0.5000  0.2826
N  0.0000  0.0000  0.2795
N  0.5000  0.5000  0.0000
N  0.0000  0.0000  0.7205
Zn  0.0000  0.0000  0.5000

Properties
**Crystal system**: tetragonal
**Uncorrected energy**: -48.49 eV per formula unit
**Uncorrected formation energy**: -1.07 eV per atom

# 4
The following is a PBE calculation of La2ZnN after structural relaxation, from Alexandria via LeMat-Bulk.

Unit cell a=3.7227 b=3.7227 c=8.1377 alpha=76.81 beta=76.81 gamma=60.00
Positions (direct):
La  0.0604  0.0604  0.8186
La  0.2718  0.2718  0.1849
N  0.6675  0.6675  0.9975
Zn  0.5003  0.5003  0.4990

Properties
**Crystal system**: trigonal
**Uncorrected energy**: -22.24 eV per formula unit
**Uncorrected formation energy**: -0.70 eV per atom

# 5
The following is a PBE calculation of La4Zn2N after structural relaxation, from Alexandria via LeMat-Bulk.

Unit cell a=3.7445 b=7.8510 c=13.2120 alpha=90.00 beta=90.00 gamma=90.00
Positions (direct):
N  0.0000  0.0000  0.5000
N  0.0000  0.5000  0.0000
La  0.5000  0.2869  0.9559
La  0.0000  0.6087  0.8173
La  0.5000  0.7131  0.0441
La  0.5000  0.7869  0.5441
La  0.5000  0.2131  0.4559
La  0.0000  0.3913  0.1827
La  0.0000  0.8913  0.3173
La  0.0000  0.1087  0.6827
Zn  0.5000  0.0768  0.1647
Zn  0.5000  0.5768  0.3353
Zn  0.5000  0.9232  0.8353
Zn  0.5000  0.4232  0.6647

Properties
**Crystal system**: orthorhombic
**Uncorrected energy**: -33.66 eV per formula unit
**Uncorrected formation energy**: -0.44 eV per atom

# 6
The following is a PBE calculation of La4ZnN2 after structural relaxation, from Alexandria via LeMat-Bulk.

Unit cell a=3.7949 b=6.6385 c=13.6894 alpha=90.00 beta=90.00 gamma=106.61
Positions (direct):
La  0.9238  0.8475  0.7500
La  0.7624  0.5249  0.1055
La  0.2376  0.4751  0.6055
La  0.5000  0.0000  0.0000
La  0.0762  0.1525  0.2500
La  0.7624  0.5249  0.3945
La  0.2376  0.4751  0.8945
La  0.5000  0.0000  0.5000
N  0.1408  0.2816  0.4454
N  0.8592  0.7184  0.9454
N  0.1408  0.2816  0.0546
N  0.8592  0.7184  0.5546
Zn  0.6082  0.2165  0.7500
Zn  0.3918  0.7835  0.2500

Properties
**Crystal system**: orthorhombic
**Uncorrected energy**: -43.21 eV per formula unit
**Uncorrected formation energy**: -0.80 eV per atom

# 7
The following is a PBE calculation of La6Zn2N after structural relaxation, from Alexandria via LeMat-Bulk.

Unit cell a=6.7017 b=7.4225 c=10.6033 alpha=90.00 beta=90.28 gamma=90.00
Positions (direct):
La  0.8138  0.6789  0.0436
La  0.3909  0.5216  0.2347
La  0.1783  0.2945  0.5441
La  0.8909  0.9784  0.7347
La  0.6783  0.2055  0.0441
La  0.1091  0.0216  0.2653
La  0.1862  0.3211  0.9564
La  0.3217  0.7945  0.9559
La  0.3138  0.8211  0.5436
La  0.6091  0.4784  0.7653
La  0.8217  0.7055  0.4559
La  0.6862  0.1789  0.4564
Zn  0.0664  0.5867  0.7442
Zn  0.9336  0.4133  0.2558
Zn  0.5664  0.9133  0.2442
Zn  0.4336  0.0867  0.7558
N  0.0000  0.0000  0.5000
N  0.5000  0.5000  0.0000

Properties
**Crystal system**: monoclinic
**Uncorrected energy**: -44.14 eV per formula unit
**Uncorrected formation energy**: -0.41 eV per atom

# 8
The following is a PBE calculation of La8ZnN4 after structural relaxation, from Alexandria via LeMat-Bulk.

Unit cell a=7.8560 b=7.8560 c=7.8560 alpha=60.00 beta=60.00 gamma=60.00
Positions (direct):
La  0.1399  0.5802  0.1399
La  0.1399  0.1399  0.1399
La  0.6051  0.6051  0.1847
La  0.1847  0.6051  0.6051
La  0.5802  0.1399  0.1399
La  0.6051  0.1847  0.6051
La  0.1399  0.1399  0.5802
La  0.6051  0.6051  0.6051
N  0.3718  0.8846  0.3718
N  0.3718  0.3718  0.8846
N  0.8846  0.3718  0.3718
N  0.3718  0.3718  0.3718
Zn  0.7500  0.7500  0.7500

Properties
**Crystal system**: cubic
**Uncorrected energy**: -83.56 eV per formula unit
**Uncorrected formation energy**: -0.74 eV per atom

# 9
The following is a PBE calculation of La4ZnN2 after structural relaxation, from Alexandria via LeMat-Bulk.

Unit cell a=5.6945 b=5.6945 c=7.2989 alpha=67.04 beta=67.04 gamma=90.00
Positions (direct):
La  0.5000  0.0000  0.0000
La  0.7380  0.7380  0.5240
La  0.2620  0.2620  0.4760
La  0.0000  0.5000  0.0000
N  0.4459  0.4459  0.1082
N  0.5541  0.5541  0.8918
Zn  0.0000  0.0000  0.0000

Properties
**Crystal system**: tetragonal
**Uncorrected energy**: -40.43 eV per formula unit
**Uncorrected formation energy**: -0.40 eV per atom

# 10
The following is a PBE calculation of LaZnN3 after structural relaxation, from Alexandria via LeMat-Bulk.

Unit cell a=3.9380 b=3.9380 c=3.9380 alpha=90.00 beta=90.00 gamma=90.00
Positions (direct):
La  0.5000  0.5000  0.5000
Zn  0.0000  0.0000  0.0000
N  0.5000  0.0000  0.0000
N  0.0000  0.0000  0.5000
N  0.0000  0.5000  0.0000

Properties
**Crystal system**: cubic
**Uncorrected energy**: -29.08 eV per formula unit
**Uncorrected formation energy**: 0.42 eV per atom

# 11
The following is a PBE calculation of La6Zn2N after structural relaxation, from Alexandria via LeMat-Bulk.

Unit cell a=7.1130 b=7.1130 c=11.3282 alpha=90.00 beta=90.00 gamma=90.00
Positions (direct):
La  0.3075  0.3075  0.6553
La  0.8075  0.1925  0.8447
La  0.8075  0.1925  0.1553
La  0.2397  0.2397  0.0000
La  0.2603  0.7397  0.5000
La  0.1925  0.8075  0.8447
La  0.7397  0.2603  0.5000
La  0.7603  0.7603  0.0000
La  0.1925  0.8075  0.1553
La  0.6925  0.6925  0.6553
La  0.6925  0.6925  0.3447
La  0.3075  0.3075  0.3447
N  0.0000  0.0000  0.0000
N  0.5000  0.5000  0.5000
Zn  0.5000  0.5000  0.1260
Zn  0.0000  0.0000  0.6260
Zn  0.0000  0.0000  0.3740
Zn  0.5000  0.5000  0.8740

Properties
**Crystal system**: tetragonal
**Uncorrected energy**: -42.91 eV per formula unit
**Uncorrected formation energy**: -0.27 eV per atom

# 12
The following is a PBE calculation of La2ZnN after structural relaxation, from Alexandria via LeMat-Bulk.

Unit cell a=3.6095 b=3.6095 c=9.6665 alpha=79.24 beta=79.24 gamma=60.00
Positions (direct):
La  0.1166  0.1166  0.6502
La  0.8834  0.8834  0.3498
Zn  0.0000  0.0000  0.0000
N  0.5000  0.5000  0.5000

Properties
**Crystal system**: trigonal
**Uncorrected energy**: -21.43 eV per formula unit
**Uncorrected formation energy**: -0.49 eV per atom

# 13
The following is a PBE calculation of La2ZnN after structural relaxation, from Alexandria via LeMat-Bulk.

Unit cell a=7.0664 b=7.0664 c=6.6037 alpha=57.65 beta=57.65 gamma=90.00
Positions (direct):
N  0.2500  0.7500  0.5000
N  0.5000  0.5000  0.0000
La  0.8750  0.7882  0.7500
La  0.3750  0.4618  0.7500
La  0.5382  0.1250  0.2500
La  0.2118  0.6250  0.2500
Zn  0.7500  0.2500  0.5000
Zn  0.0000  0.0000  0.0000

Properties
**Crystal system**: tetragonal
**Uncorrected energy**: -22.11 eV per formula unit
**Uncorrected formation energy**: -0.66 eV per atom

# 14
The following is a PBE calculation of La4Zn2N after structural relaxation, from Alexandria via LeMat-Bulk.

Unit cell a=3.8610 b=6.7347 c=7.7833 alpha=74.18 beta=75.64 gamma=73.34
Positions (direct):
Zn  0.6196  0.4197  0.3411
Zn  0.3804  0.5803  0.6589
La  0.9187  0.8275  0.3351
La  0.3487  0.2388  0.0638
La  0.6513  0.7612  0.9362
La  0.0813  0.1725  0.6649
N  0.0000  0.0000  0.0000

Properties
**Crystal system**: monoclinic
**Uncorrected energy**: -34.45 eV per formula unit
**Uncorrected formation energy**: -0.55 eV per atom

# 15
The following is a PBE calculation of LaZr2ZnN after structural relaxation, from Alexandria via LeMat-Bulk.

Unit cell a=4.5121 b=4.5121 c=5.0398 alpha=90.00 beta=90.00 gamma=90.00
Positions (direct):
N  0.0000  0.0000  0.0000
Zr  0.5000  0.0000  0.0000
Zr  0.0000  0.5000  0.0000
Zn  0.5000  0.5000  0.5000
La  0.0000  0.0000  0.5000

Properties
**Crystal system**: tetragonal
**Uncorrected energy**: -34.74 eV per formula unit
**Uncorrected formation energy**: -0.62 eV per atom

# 16
The following is a PBE calculation of La2ZrZnN after structural relaxation, from Alexandria via LeMat-Bulk.

Unit cell a=5.2061 b=5.2061 c=4.3599 alpha=90.00 beta=90.00 gamma=90.00
Site moments in Bohr magnetons follow the coordinates.
Positions (direct):
La  0.0000  0.5000  0.0000  0.04
La  0.5000  0.0000  0.0000  0.04
Zr  0.0000  0.0000  0.5000  0.23
Zn  0.5000  0.5000  0.5000  -0.01
N  0.0000  0.0000  0.0000  -0.01

Properties
**Crystal system**: tetragonal
**Uncorrected energy**: -31.20 eV per formula unit
**Uncorrected formation energy**: -0.64 eV per atom

# 17
The following is a PBE calculation of LaZrN2 after structural relaxation, from Alexandria via LeMat-Bulk.

Unit cell a=3.3602 b=3.3602 c=6.3741 alpha=74.72 beta=74.72 gamma=60.00
Positions (direct):
N  0.0704  0.0704  0.7889
N  0.2654  0.2654  0.2039
Zr  0.6684  0.6684  0.9949
La  0.4959  0.4959  0.5123

Properties
**Crystal system**: trigonal
**Uncorrected energy**: -35.62 eV per formula unit
**Uncorrected formation energy**: -1.37 eV per atom

# 18
The following is a PBE calculation of LaZrN2 after structural relaxation, from Alexandria via LeMat-Bulk.

Unit cell a=4.2530 b=4.2530 c=4.2530 alpha=60.00 beta=60.00 gamma=60.00
Positions (direct):
La  0.5000  0.5000  0.5000
Zr  0.0000  0.0000  0.0000
N  0.2500  0.2500  0.2500
N  0.7500  0.7500  0.7500

Properties
**Crystal system**: cubic
**Uncorrected energy**: -32.49 eV per formula unit
**Uncorrected formation energy**: -0.59 eV per atom

# 19
The following is a PBE calculation of La3ZrN after structural relaxation, from Alexandria via LeMat-Bulk.

Unit cell a=5.1234 b=5.1234 c=5.1234 alpha=90.00 beta=90.00 gamma=90.00
Positions (direct):
La  0.0000  0.5000  0.0000
La  0.5000  0.0000  0.0000
La  0.0000  0.0000  0.5000
N  0.0000  0.0000  0.0000
Zr  0.5000  0.5000  0.5000

Properties
**Crystal system**: cubic
**Uncorrected energy**: -33.67 eV per formula unit
**Uncorrected formation energy**: -0.40 eV per atom

# 20
The following is a PBE calculation of La4ZrN5 after structural relaxation, from Alexandria via LeMat-Bulk.

Unit cell a=5.2819 b=6.3046 c=6.3046 alpha=79.89 beta=65.24 gamma=65.24
Positions (direct):
N  0.7327  0.1797  0.3630
N  0.0957  0.6370  0.1797
N  0.4385  0.0000  0.0000
N  0.2754  0.8203  0.6370
N  0.9124  0.3630  0.8203
La  0.2039  0.1936  0.4054
La  0.3975  0.4054  0.8064
La  0.8028  0.8064  0.5946
La  0.6093  0.5946  0.1936
Zr  0.0421  0.0000  0.0000

Properties
**Crystal system**: tetragonal
**Uncorrected energy**: -83.84 eV per formula unit
**Uncorrected formation energy**: -1.40 eV per atom